The following is a DFT calculation (PBE-GGA) of a relaxed structure of Nb3Pt5.

Structure (POSCAR):
```
Nb3Pt5
1.0
4.008 -4.090 0.000
4.008 4.090 0.000
0.000 0.000 3.980
Nb Pt
3 5
Direct
0.000 0.000 0.000 Nb
0.253 0.253 0.500 Nb
0.747 0.747 0.500 Nb
0.000 0.500 0.000 Pt
0.244 0.756 0.500 Pt
0.500 0.000 0.000 Pt
0.500 0.500 0.000 Pt
0.756 0.244 0.500 Pt
```

Properties
E_form = -0.585 eV per atom
DFT total energy = -8.1366 eV/atom
Total magnetic moment = 0.0 μB/cell
Symmetry = Cmmm